# 1
# SnPd2Au5 | Alexandria via LeMat-Bulk | PBE | relaxed
data_SnPd2Au5
_cell_length_a 5.8428
_cell_length_b 11.6798
_cell_length_c 4.1748
_cell_angle_alpha 90.00
_cell_angle_beta 90.00
_cell_angle_gamma 90.00
_space_group_name_H-M_alt 'P b a m'
_space_group_IT_number 55
loop_
_space_group_symop_operation_xyz
'x,y,z'
'-x,-y,-z'
'-x,-y,z'
'x,y,-z'
'x+1/2,-y+1/2,-z'
'-x+1/2,y+1/2,z'
'-x+1/2,y+1/2,-z'
'x+1/2,-y+1/2,z'
loop_
_atom_site_label
_atom_site_type_symbol
_atom_site_fract_x
_atom_site_fract_y
_atom_site_fract_z
_atom_site_occupancy
Sn1 Sn 0.0000 0.0000 0.0000 1
Pd1 Pd 0.2106 0.1130 0.5000 1
Au1 Au 0.0000 0.5000 0.0000 1
Au2 Au 0.0422 0.7498 0.0000 1
Au3 Au 0.2090 0.3653 0.5000 1
# Energy of formation from the pure elements (eV/f.u.): -1.3

# 2
# SnPd5Au | Alexandria via LeMat-Bulk | PBE | relaxed
data_SnPd5Au
_cell_length_a 3.9809
_cell_length_b 3.9809
_cell_length_c 7.7466
_cell_angle_alpha 90.00
_cell_angle_beta 90.00
_cell_angle_gamma 90.00
_space_group_name_H-M_alt 'P 4/m m m'
_space_group_IT_number 123
_space_group_name_Hall '-P 4 2'
loop_
_atom_site_label
_atom_site_type_symbol
_atom_site_fract_x
_atom_site_fract_y
_atom_site_fract_z
_atom_site_occupancy
Sn1 Sn 0.0000 0.0000 0.0000 1
Pd1 Pd 0.0000 0.0000 0.5000 1
Pd2 Pd 0.0000 0.5000 0.2336 1
Au1 Au 0.5000 0.5000 0.5000 1
# Energy of formation from the pure elements (eV/f.u.): -1.5

# 3
# SnPd12Au6 | Alexandria via LeMat-Bulk | PBE | relaxed
data_SnPd12Au6
_cell_length_a 12.4038
_cell_length_b 12.4038
_cell_length_c 7.0131
_cell_angle_alpha 90.00
_cell_angle_beta 90.00
_cell_angle_gamma 120.00
_space_group_name_H-M_alt 'R -3'
_space_group_IT_number 148
_space_group_name_Hall '-R 3'
loop_
_atom_site_label
_atom_site_type_symbol
_atom_site_fract_x
_atom_site_fract_y
_atom_site_fract_z
_atom_site_occupancy
Sn1 Sn 0.0000 0.0000 0.0000 1
Pd1 Pd 0.0175 0.1391 0.6679 1
Pd2 Pd 0.0719 0.5617 0.6660 1
Au1 Au 0.0339 0.2792 0.3345 1
# Energy of formation from the pure elements (eV/f.u.): -3.2

# 4
# Sn2Pd7Au2 | Alexandria via LeMat-Bulk | PBE | relaxed
data_Sn2Pd7Au2
_cell_length_a 8.9307
_cell_length_b 9.4350
_cell_length_c 5.0137
_cell_angle_alpha 90.00
_cell_angle_beta 114.13
_cell_angle_gamma 90.00
_space_group_name_H-M_alt 'C 1 2/m 1'
_space_group_IT_number 12
loop_
_space_group_symop_operation_xyz
'x,y,z'
'-x,-y,-z'
'-x,y,-z'
'x,-y,z'
'x+1/2,y+1/2,z'
'-x+1/2,-y+1/2,-z'
'-x+1/2,y+1/2,-z'
'x+1/2,-y+1/2,z'
loop_
_atom_site_label
_atom_site_type_symbol
_atom_site_fract_x
_atom_site_fract_y
_atom_site_fract_z
_atom_site_occupancy
Sn1 Sn 0.0000 0.2465 0.0000 1
Pd1 Pd 0.0000 0.0000 0.5000 1
Pd2 Pd 0.0954 0.5000 0.3191 1
Pd3 Pd 0.1703 0.2415 0.6765 1
Au1 Au 0.2270 0.0000 0.0663 1
# Energy of formation from the pure elements (eV/f.u.): -2.4

# 5
# Sn3Pd12Au | Alexandria via LeMat-Bulk | PBE | relaxed
data_Sn3Pd12Au
_cell_length_a 4.0386
_cell_length_b 4.0386
_cell_length_c 16.0666
_cell_angle_alpha 90.00
_cell_angle_beta 90.00
_cell_angle_gamma 90.00
_space_group_name_H-M_alt 'P 4/m m m'
_space_group_IT_number 123
_space_group_name_Hall '-P 4 2'
loop_
_atom_site_label
_atom_site_type_symbol
_atom_site_fract_x
_atom_site_fract_y
_atom_site_fract_z
_atom_site_occupancy
Sn1 Sn 0.0000 0.0000 0.0000 1
Sn2 Sn 0.0000 0.0000 0.2540 1
Pd1 Pd 0.0000 0.5000 0.1257 1
Pd2 Pd 0.0000 0.5000 0.3749 1
Pd3 Pd 0.5000 0.5000 0.0000 1
Pd4 Pd 0.5000 0.5000 0.2494 1
Pd5 Pd 0.5000 0.5000 0.5000 1
Au1 Au 0.0000 0.0000 0.5000 1
# Energy of formation from the pure elements (eV/f.u.): -6.1

# 6
# Sr2Sn4Pd3Au | Alexandria via LeMat-Bulk | PBE | relaxed
data_Sr2Sn4Pd3Au
_cell_length_a 4.6681
_cell_length_b 4.6681
_cell_length_c 11.0896
_cell_angle_alpha 90.00
_cell_angle_beta 90.00
_cell_angle_gamma 90.00
_space_group_name_H-M_alt 'P -4 m 2'
_space_group_IT_number 115
loop_
_space_group_symop_operation_xyz
'x,y,z'
'y,-x,-z'
'-x,-y,z'
'-y,x,-z'
'-x,y,z'
'-y,-x,-z'
'x,-y,z'
'y,x,-z'
loop_
_atom_site_label
_atom_site_type_symbol
_atom_site_fract_x
_atom_site_fract_y
_atom_site_fract_z
_atom_site_occupancy
Sr1 Sr 0.0000 0.5000 0.2461 1
Sn1 Sn 0.0000 0.0000 0.5000 1
Sn2 Sn 0.0000 0.5000 0.8705 1
Sn3 Sn 0.5000 0.5000 0.5000 1
Pd1 Pd 0.0000 0.0000 0.0000 1
Pd2 Pd 0.0000 0.5000 0.6291 1
Au1 Au 0.5000 0.5000 0.0000 1
# Energy of formation from the pure elements (eV/f.u.): -6.8

# 7
# Sr2SnPd6Au | Alexandria via LeMat-Bulk | PBE | relaxed
data_Sr2SnPd6Au
_cell_length_a 10.0920
_cell_length_b 10.0920
_cell_length_c 10.0920
_cell_angle_alpha 90.00
_cell_angle_beta 90.00
_cell_angle_gamma 90.00
_space_group_name_H-M_alt 'F m -3 m'
_space_group_IT_number 225
_space_group_name_Hall '-F 4 2 3'
loop_
_atom_site_label
_atom_site_type_symbol
_atom_site_fract_x
_atom_site_fract_y
_atom_site_fract_z
_atom_site_occupancy
Sr1 Sr 0.2500 0.2500 0.2500 1
Sn1 Sn 0.0000 0.0000 0.0000 1
Pd1 Pd 0.0000 0.0000 0.2458 1
Au1 Au 0.0000 0.0000 0.5000 1
# Energy of formation from the pure elements (eV/f.u.): -0.9

# 8
# Sr2SnPd3Au12 | Alexandria via LeMat-Bulk | PBE | relaxed
data_Sr2SnPd3Au12
_cell_length_a 9.0114
_cell_length_b 9.0114
_cell_length_c 20.4166
_cell_angle_alpha 90.00
_cell_angle_beta 90.00
_cell_angle_gamma 120.00
_space_group_name_H-M_alt 'R -3 m'
_space_group_IT_number 166
_space_group_name_Hall '-R 3 2"'
loop_
_atom_site_label
_atom_site_type_symbol
_atom_site_fract_x
_atom_site_fract_y
_atom_site_fract_z
_atom_site_occupancy
Sr1 Sr 0.0000 0.0000 0.1151 1
Sn1 Sn 0.0000 0.0000 0.5000 1
Pd1 Pd 0.0000 0.5000 0.0000 1
Au1 Au 0.0076 0.5038 0.1321 1
Au2 Au 0.0850 0.5425 0.3990 1
# Energy of formation from the pure elements (eV/f.u.): 0.5

# 9
# Sr2SnPdAu6 | Alexandria via LeMat-Bulk | PBE | relaxed
data_Sr2SnPdAu6
_cell_length_a 5.5156
_cell_length_b 7.0241
_cell_length_c 7.4681
_cell_angle_alpha 82.18
_cell_angle_beta 68.48
_cell_angle_gamma 67.00
_space_group_name_H-M_alt 'P -1'
_space_group_IT_number 2
loop_
_space_group_symop_operation_xyz
'x,y,z'
'-x,-y,-z'
loop_
_atom_site_label
_atom_site_type_symbol
_atom_site_fract_x
_atom_site_fract_y
_atom_site_fract_z
_atom_site_occupancy
Sr1 Sr 0.0338 0.2412 0.1933 1
Sn1 Sn 0.5000 0.0000 0.5000 1
Pd1 Pd 0.5000 0.5000 0.0000 1
Au1 Au 0.0020 0.7649 0.2368 1
Au2 Au 0.3467 0.4156 0.3976 1
Au3 Au 0.4977 0.7659 0.2353 1
# Energy of formation from the pure elements (eV/f.u.): -4.5

# 10
# TaSnPdAu2 | Alexandria via LeMat-Bulk | PBE | relaxed
data_TaSnPdAu2
_cell_length_a 5.0077
_cell_length_b 5.0077
_cell_length_c 4.8743
_cell_angle_alpha 90.00
_cell_angle_beta 90.00
_cell_angle_gamma 90.00
_space_group_name_H-M_alt 'P 4/m m m'
_space_group_IT_number 123
_space_group_name_Hall '-P 4 2'
loop_
_atom_site_label
_atom_site_type_symbol
_atom_site_fract_x
_atom_site_fract_y
_atom_site_fract_z
_atom_site_occupancy
Ta1 Ta 0.0000 0.0000 0.0000 1
Sn1 Sn 0.5000 0.5000 0.5000 1
Pd1 Pd 0.5000 0.5000 0.0000 1
Au1 Au 0.0000 0.5000 0.5000 1
# Energy of formation from the pure elements (eV/f.u.): 5.9

# 11
# Sn2Te2Pd7Au | Alexandria via LeMat-Bulk | PBE | relaxed
data_Sn2Te2Pd7Au
_cell_length_a 5.6138
_cell_length_b 5.6111
_cell_length_c 15.8909
_cell_angle_alpha 90.00
_cell_angle_beta 98.03
_cell_angle_gamma 90.00
_space_group_name_H-M_alt 'C 1 2/m 1'
_space_group_IT_number 12
loop_
_space_group_symop_operation_xyz
'x,y,z'
'-x,-y,-z'
'-x,y,-z'
'x,-y,z'
'x+1/2,y+1/2,z'
'-x+1/2,-y+1/2,-z'
'-x+1/2,y+1/2,-z'
'x+1/2,-y+1/2,z'
loop_
_atom_site_label
_atom_site_type_symbol
_atom_site_fract_x
_atom_site_fract_y
_atom_site_fract_z
_atom_site_occupancy
Sn1 Sn 0.0974 0.0000 0.2451 1
Te1 Te 0.1910 0.5000 0.4138 1
Pd1 Pd 0.0000 0.0000 0.0000 1
Pd2 Pd 0.1892 0.0000 0.4126 1
Pd3 Pd 0.1982 0.2497 0.8683 1
Au1 Au 0.0000 0.5000 0.0000 1
# Energy relative to the elements, uncorrected (eV/atom): -0.251

The records above give, respectively, DOS at the Fermi energy values of 6.0; 4.9; 51.0; 10.3; 13.9; 3.4; 29.0; 17.7; 3.9; 3.2; 13.7 states/eV/cell.
The records above give, respectively, energy values of -4.014; -4.969; -4.692; -4.845; -5.231; -4.503; -4.273; -3.431; -3.677; -4.332; -4.744 eV per atom.